(1)
Entry from the Alexandria database: an optimized crystal structure of CaEuSb (GGA-PBE).

The space group is P3m1 (No. 156) and the conventional cell measures 5.1372, 5.1372 and 4.5845 Å, with angles of 90.00, 90.00 and 120.00 degrees. Symmetry generates all atoms from Ca at (0.0000, 0.0000, 0.0000), Eu at (0.6667, 0.3333, 0.4828) and Sb at (0.3333, 0.6667, 0.8789).

The raw formation energy comes out at -0.66 eV per atom. As for the crystal system: trigonal.


(2)
Entry from the Alexandria database: an optimized crystal structure of Pa6SiP2S3 (GGA-PBE).

The space group is C2/m (No. 12) and the conventional cell measures 17.051, 4.016 and 7.781 Å, with angles of 90.00, 100.71 and 90.00 degrees. Symmetry generates all atoms from Pa at (0.000, 0.000, 0.244), Pa at (0.166, 0.500, 0.084), Pa at (0.169, 0.500, 0.583), Si at (0.000, 0.500, 0.500), P at (0.167, 0.000, 0.834), S at (0.000, 0.500, 0.000) and S at (0.165, 0.000, 0.332).

The raw formation energy comes out at -1.33 eV per atom. As for the crystal system: monoclinic.


(3)
Entry from the Alexandria database: an optimized crystal structure of CeNp3Tl4S8 (GGA-PBE).

The space group is R-3m (No. 166, hexagonal axes) and the conventional cell measures 8.1837, 8.1837 and 22.5041 Å, with angles of 90.00, 90.00 and 120.00 degrees. Symmetry generates all atoms from Ce at (0.0000, 0.0000, 0.0000), Np at (0.0000, 0.5000, 0.0000), Tl at (0.0000, 0.0000, 0.5000), Tl at (0.0000, 0.5000, 0.5000), S at (0.0000, 0.0000, 0.2699) and S at (0.0058, 0.5029, 0.2680).

The raw formation energy comes out at -1.13 eV per atom. As for the crystal system: trigonal.


(4)
Entry from the Alexandria database: an optimized crystal structure of CsTlPb4 (GGA-PBE).

The space group is F-43m (No. 216) and the conventional cell measures 9.583, 9.583 and 9.583 Å, with angles of 90.00, 90.00 and 90.00 degrees. Symmetry generates all atoms from Cs at (0.000, 0.000, 0.000), Tl at (0.250, 0.250, 0.750) and Pb at (0.125, 0.125, 0.375).

For the total energy, the calculation gives -71.73 eV/cell. As for the crystal system: cubic.


Table of total moment (Bohr magnetons per cell), in record order: 7.981 0.001 39.003 0.006